This record from Alexandria via LeMat-Bulk describes a relaxed structure of YPb2Au. The functional is PBEsol.

Calculated values
density	11.758	g cm⁻³
energy	-4.8603	eV per atom
formation enthalpy at 0 K	-174	meV/atom

Structure (CIF):
```
data_YPb2Au
_cell_length_a 3.7832
_cell_length_b 3.7832
_cell_length_c 6.9098
_cell_angle_alpha 90.00
_cell_angle_beta 90.00
_cell_angle_gamma 90.00
_space_group_name_H-M_alt 'P 4/m m m'
_space_group_IT_number 123
_space_group_name_Hall '-P 4 2'
loop_
_atom_site_label
_atom_site_type_symbol
_atom_site_fract_x
_atom_site_fract_y
_atom_site_fract_z
Y1 Y 0.0000 0.0000 0.0000
Pb1 Pb 0.5000 0.5000 0.2772
Au1 Au 0.0000 0.0000 0.5000
```

---

This record from Alexandria via LeMat-Bulk describes a relaxed structure of Y3PbAu. The functional is PBEsol.

Calculated values
density	7.038	g cm⁻³
energy	-5.9399	eV per atom
formation enthalpy at 0 K	-262	meV/atom

Structure (CIF):
```
data_Y3PbAu
_cell_length_a 5.4094
_cell_length_b 5.4094
_cell_length_c 5.4094
_cell_angle_alpha 90.00
_cell_angle_beta 90.00
_cell_angle_gamma 90.00
_space_group_name_H-M_alt 'P m -3 m'
_space_group_IT_number 221
_space_group_name_Hall '-P 4 2 3'
loop_
_atom_site_label
_atom_site_type_symbol
_atom_site_fract_x
_atom_site_fract_y
_atom_site_fract_z
Y1 Y 0.0000 0.0000 0.5000
Pb1 Pb 0.5000 0.5000 0.5000
Au1 Au 0.0000 0.0000 0.0000
```

---

This record from Alexandria via LeMat-Bulk describes a relaxed structure of ZnPbAu2. The functional is PBEsol.

Calculated values
density	14.419	g cm⁻³
energy	-3.4321	eV per atom
formation enthalpy at 0 K	-75	meV/atom
excess energy over the best structure of this formula in the dataset	0.0000	eV/atom

Structure (CIF):
```
data_ZnPbAu2
_cell_length_a 3.2228
_cell_length_b 3.2228
_cell_length_c 7.3904
_cell_angle_alpha 90.00
_cell_angle_beta 90.00
_cell_angle_gamma 90.00
_space_group_name_H-M_alt 'P 4/m m m'
_space_group_IT_number 123
_space_group_name_Hall '-P 4 2'
loop_
_atom_site_label
_atom_site_type_symbol
_atom_site_fract_x
_atom_site_fract_y
_atom_site_fract_z
Zn1 Zn 0.0000 0.0000 0.0000
Pb1 Pb 0.0000 0.0000 0.5000
Au1 Au 0.5000 0.5000 0.1974
```

---

This record from Alexandria via LeMat-Bulk describes a relaxed structure of Zn2PbAu. The functional is PBEsol.

Calculated values
density	11.259	g cm⁻³
energy	-2.7644	eV per atom
formation enthalpy at 0 K	7	meV/atom

Structure (CIF):
```
data_Zn2PbAu
_cell_length_a 8.3993
_cell_length_b 3.5826
_cell_length_c 5.4215
_cell_angle_alpha 90.00
_cell_angle_beta 104.69
_cell_angle_gamma 90.00
_space_group_name_H-M_alt 'C 1 2/m 1'
_space_group_IT_number 12
loop_
_space_group_symop_operation_xyz
'x,y,z'
'-x,-y,-z'
'-x,y,-z'
'x,-y,z'
'x+1/2,y+1/2,z'
'-x+1/2,-y+1/2,-z'
'-x+1/2,y+1/2,-z'
'x+1/2,-y+1/2,z'
loop_
_atom_site_label
_atom_site_type_symbol
_atom_site_fract_x
_atom_site_fract_y
_atom_site_fract_z
Zn1 Zn 0.2318 0.0000 0.1733
Pb1 Pb 0.0000 0.0000 0.5000
Au1 Au 0.0000 0.5000 0.0000
```

---

This record from Alexandria via LeMat-Bulk describes a relaxed structure of ZnPb2Au. The functional is PBEsol.

Calculated values
density	12.271	g cm⁻³
energy	-3.3911	eV per atom
formation enthalpy at 0 K	-15	meV/atom

Structure (CIF):
```
data_ZnPb2Au
_cell_length_a 4.1152
_cell_length_b 4.1977
_cell_length_c 5.6712
_cell_angle_alpha 90.00
_cell_angle_beta 110.80
_cell_angle_gamma 90.00
_space_group_name_H-M_alt 'P 1 m 1'
_space_group_IT_number 6
loop_
_space_group_symop_operation_xyz
'x,y,z'
'x,-y,z'
loop_
_atom_site_label
_atom_site_type_symbol
_atom_site_fract_x
_atom_site_fract_y
_atom_site_fract_z
Zn1 Zn 0.0000 0.0000 0.0000
Pb1 Pb 0.4250 0.5000 0.8541
Pb2 Pb 0.7236 0.0000 0.4539
Au1 Au 0.1417 0.5000 0.2938
```

---

This record from Alexandria via LeMat-Bulk describes a relaxed structure of Zn2Pb2Au. The functional is PBEsol.

Calculated values
density	11.158	g cm⁻³
energy	-2.8935	eV per atom
formation enthalpy at 0 K	124	meV/atom

Structure (CIF):
```
data_Zn2Pb2Au
_cell_length_a 3.5034
_cell_length_b 3.5034
_cell_length_c 17.9973
_cell_angle_alpha 90.00
_cell_angle_beta 90.00
_cell_angle_gamma 90.00
_space_group_name_H-M_alt 'I 4/m m m'
_space_group_IT_number 139
_space_group_name_Hall '-I 4 2'
loop_
_atom_site_label
_atom_site_type_symbol
_atom_site_fract_x
_atom_site_fract_y
_atom_site_fract_z
Zn1 Zn 0.0000 0.5000 0.2500
Pb1 Pb 0.0000 0.0000 0.0998
Au1 Au 0.0000 0.0000 0.5000
```

---

This record from Alexandria via LeMat-Bulk describes a relaxed structure of ZnPbAu2. The functional is PBEsol.

Calculated values
density	14.512	g cm⁻³
energy	-3.2780	eV per atom
formation enthalpy at 0 K	79	meV/atom
excess energy over the best structure of this formula in the dataset	0.1541	eV/atom

Structure (CIF):
```
data_ZnPbAu2
_cell_length_a 4.2343
_cell_length_b 4.2343
_cell_length_c 8.5081
_cell_angle_alpha 90.00
_cell_angle_beta 90.00
_cell_angle_gamma 90.00
_space_group_name_H-M_alt 'I 4/m m m'
_space_group_IT_number 139
_space_group_name_Hall '-I 4 2'
loop_
_atom_site_label
_atom_site_type_symbol
_atom_site_fract_x
_atom_site_fract_y
_atom_site_fract_z
Zn1 Zn 0.0000 0.0000 0.0000
Pb1 Pb 0.0000 0.0000 0.5000
Au1 Au 0.0000 0.5000 0.2500
```

---

This record from Alexandria via LeMat-Bulk describes a relaxed structure of Zn2PbAu. The functional is PBEsol.

Calculated values
density	11.446	g cm⁻³
energy	-2.6624	eV per atom
formation enthalpy at 0 K	109	meV/atom

Structure (CIF):
```
data_Zn2PbAu
_cell_length_a 3.2597
_cell_length_b 3.2597
_cell_length_c 25.3030
_cell_angle_alpha 90.00
_cell_angle_beta 90.00
_cell_angle_gamma 120.00
_space_group_name_H-M_alt 'R 3 m'
_space_group_IT_number 160
_space_group_name_Hall 'R 3 -2"'
loop_
_atom_site_label
_atom_site_type_symbol
_atom_site_fract_x
_atom_site_fract_y
_atom_site_fract_z
Zn1 Zn 0.0000 0.0000 0.0000
Zn2 Zn 0.0000 0.0000 0.2627
Pb1 Pb 0.0000 0.0000 0.4991
Au1 Au 0.0000 0.0000 0.7385
```

---

This record from Alexandria via LeMat-Bulk describes a relaxed structure of ZnPbAu2. The functional is PBEsol.

Calculated values
density	13.573	g cm⁻³
energy	-3.4246	eV per atom
formation enthalpy at 0 K	-67	meV/atom
excess energy over the best structure of this formula in the dataset	0.0075	eV/atom

Structure (CIF):
```
data_ZnPbAu2
_cell_length_a 4.2993
_cell_length_b 4.2993
_cell_length_c 15.2822
_cell_angle_alpha 90.00
_cell_angle_beta 90.00
_cell_angle_gamma 120.00
_space_group_name_H-M_alt 'R -3 m'
_space_group_IT_number 166
_space_group_name_Hall '-R 3 2"'
loop_
_atom_site_label
_atom_site_type_symbol
_atom_site_fract_x
_atom_site_fract_y
_atom_site_fract_z
Zn1 Zn 0.0000 0.0000 0.0000
Pb1 Pb 0.0000 0.0000 0.5000
Au1 Au 0.0000 0.0000 0.2790
```

---

This record from Alexandria via LeMat-Bulk describes a relaxed structure of ZnPb2Au. The functional is PBEsol.

Calculated values
density	12.404	g cm⁻³
energy	-3.4065	eV per atom
formation enthalpy at 0 K	-31	meV/atom

Structure (CIF):
```
data_ZnPb2Au
_cell_length_a 3.3680
_cell_length_b 3.3680
_cell_length_c 7.9872
_cell_angle_alpha 90.00
_cell_angle_beta 90.00
_cell_angle_gamma 90.00
_space_group_name_H-M_alt 'P 4 m m'
_space_group_IT_number 99
loop_
_space_group_symop_operation_xyz
'x,y,z'
'-y,x,z'
'-x,-y,z'
'y,-x,z'
'-x,y,z'
'y,x,z'
'x,-y,z'
'-y,-x,z'
loop_
_atom_site_label
_atom_site_type_symbol
_atom_site_fract_x
_atom_site_fract_y
_atom_site_fract_z
Zn1 Zn 0.0000 0.0000 0.0000
Pb1 Pb 0.0000 0.0000 0.3983
Pb2 Pb 0.5000 0.5000 0.7464
Au1 Au 0.5000 0.5000 0.1451
```

---

This record from Alexandria via LeMat-Bulk describes a relaxed structure of Zr2PbAu. The functional is PBEsol.

Calculated values
density	11.775	g cm⁻³
energy	-6.8816	eV per atom
formation enthalpy at 0 K	-356	meV/atom

Structure (CIF):
```
data_Zr2PbAu
_cell_length_a 3.1886
_cell_length_b 4.1624
_cell_length_c 6.2332
_cell_angle_alpha 90.00
_cell_angle_beta 90.00
_cell_angle_gamma 90.00
_space_group_name_H-M_alt 'P m m m'
_space_group_IT_number 47
loop_
_space_group_symop_operation_xyz
'x,y,z'
'-x,-y,-z'
'-x,-y,z'
'x,y,-z'
'x,-y,-z'
'-x,y,z'
'-x,y,-z'
'x,-y,z'
loop_
_atom_site_label
_atom_site_type_symbol
_atom_site_fract_x
_atom_site_fract_y
_atom_site_fract_z
Zr1 Zr 0.0000 0.0000 0.2352
Pb1 Pb 0.5000 0.5000 0.5000
Au1 Au 0.5000 0.5000 0.0000
```

---

This record from Alexandria via LeMat-Bulk describes a relaxed structure of Zr2PbAu. The functional is PBEsol.

Calculated values
density	11.825	g cm⁻³
energy	-6.8812	eV per atom
formation enthalpy at 0 K	-356	meV/atom

Structure (CIF):
```
data_Zr2PbAu
_cell_length_a 6.1707
_cell_length_b 8.4094
_cell_length_c 3.1749
_cell_angle_alpha 90.00
_cell_angle_beta 90.00
_cell_angle_gamma 90.00
_space_group_name_H-M_alt 'C m m m'
_space_group_IT_number 65
_space_group_name_Hall '-C 2 2'
loop_
_atom_site_label
_atom_site_type_symbol
_atom_site_fract_x
_atom_site_fract_y
_atom_site_fract_z
Zr1 Zr 0.2500 0.2500 0.0000
Pb1 Pb 0.0000 0.0000 0.5000
Au1 Au 0.0000 0.5000 0.5000
```

---

This record from Alexandria via LeMat-Bulk describes a relaxed structure of Zr2PbAu. The functional is PBEsol.

Calculated values
density	11.666	g cm⁻³
energy	-6.8347	eV per atom
formation enthalpy at 0 K	-309	meV/atom

Structure (CIF):
```
data_Zr2PbAu
_cell_length_a 4.1638
_cell_length_b 4.1638
_cell_length_c 9.6325
_cell_angle_alpha 90.00
_cell_angle_beta 90.00
_cell_angle_gamma 90.00
_space_group_name_H-M_alt 'I -4 m 2'
_space_group_IT_number 119
_space_group_name_Hall 'I -4 -2'
loop_
_atom_site_label
_atom_site_type_symbol
_atom_site_fract_x
_atom_site_fract_y
_atom_site_fract_z
Zr1 Zr 0.0000 0.0000 0.0000
Zr2 Zr 0.0000 0.5000 0.2500
Pb1 Pb 0.0000 0.5000 0.7500
Au1 Au 0.0000 0.0000 0.5000
```

---

This record from Alexandria via LeMat-Bulk describes a relaxed structure of Zr2PbAu. The functional is PBEsol.

Calculated values
density	11.825	g cm⁻³
energy	-6.8915	eV per atom
formation enthalpy at 0 K	-366	meV/atom

Structure (CIF):
```
data_Zr2PbAu
_cell_length_a 4.3984
_cell_length_b 4.3984
_cell_length_c 4.2580
_cell_angle_alpha 90.00
_cell_angle_beta 90.00
_cell_angle_gamma 90.00
_space_group_name_H-M_alt 'P 4/m m m'
_space_group_IT_number 123
_space_group_name_Hall '-P 4 2'
loop_
_atom_site_label
_atom_site_type_symbol
_atom_site_fract_x
_atom_site_fract_y
_atom_site_fract_z
Zr1 Zr 0.0000 0.5000 0.0000
Pb1 Pb 0.0000 0.0000 0.5000
Au1 Au 0.5000 0.5000 0.5000
```

---

This record from Alexandria via LeMat-Bulk describes a relaxed structure of Zr2PbAu. The functional is PBEsol.

Calculated values
density	11.432	g cm⁻³
energy	-6.7338	eV per atom
formation enthalpy at 0 K	-208	meV/atom

Structure (CIF):
```
data_Zr2PbAu
_cell_length_a 10.1438
_cell_length_b 3.2291
_cell_length_c 5.3785
_cell_angle_alpha 90.00
_cell_angle_beta 104.68
_cell_angle_gamma 90.00
_space_group_name_H-M_alt 'C 1 2/m 1'
_space_group_IT_number 12
loop_
_space_group_symop_operation_xyz
'x,y,z'
'-x,-y,-z'
'-x,y,-z'
'x,-y,z'
'x+1/2,y+1/2,z'
'-x+1/2,-y+1/2,-z'
'-x+1/2,y+1/2,-z'
'x+1/2,-y+1/2,z'
loop_
_atom_site_label
_atom_site_type_symbol
_atom_site_fract_x
_atom_site_fract_y
_atom_site_fract_z
Zr1 Zr 0.2438 0.0000 0.2351
Pb1 Pb 0.0000 0.0000 0.5000
Au1 Au 0.0000 0.5000 0.0000
```

---

This record from Alexandria via LeMat-Bulk describes a relaxed structure of Zr2PbAu. The functional is PBEsol.

Calculated values
density	11.332	g cm⁻³
energy	-6.7717	eV per atom
formation enthalpy at 0 K	-246	meV/atom

Structure (CIF):
```
data_Zr2PbAu
_cell_length_a 3.7338
_cell_length_b 3.7479
_cell_length_c 6.1425
_cell_angle_alpha 90.00
_cell_angle_beta 90.00
_cell_angle_gamma 90.00
_space_group_name_H-M_alt 'P m m 2'
_space_group_IT_number 25
loop_
_space_group_symop_operation_xyz
'x,y,z'
'-x,-y,z'
'-x,y,z'
'x,-y,z'
loop_
_atom_site_label
_atom_site_type_symbol
_atom_site_fract_x
_atom_site_fract_y
_atom_site_fract_z
Zr1 Zr 0.0000 0.0000 0.0000
Zr2 Zr 0.5000 0.5000 0.2723
Pb1 Pb 0.5000 0.5000 0.7608
Au1 Au 0.0000 0.0000 0.4837
```

---

This record from Alexandria via LeMat-Bulk describes a relaxed structure of Zr2PbAu. The functional is PBEsol.

Calculated values
density	11.338	g cm⁻³
energy	-6.3466	eV per atom
formation enthalpy at 0 K	179	meV/atom

Structure (CIF):
```
data_Zr2PbAu
_cell_length_a 7.0045
_cell_length_b 7.0045
_cell_length_c 7.0045
_cell_angle_alpha 90.00
_cell_angle_beta 90.00
_cell_angle_gamma 90.00
_space_group_name_H-M_alt 'F -4 3 m'
_space_group_IT_number 216
_space_group_name_Hall 'F -4 2 3'
loop_
_atom_site_label
_atom_site_type_symbol
_atom_site_fract_x
_atom_site_fract_y
_atom_site_fract_z
Zr1 Zr 0.0000 0.0000 0.0000
Zr2 Zr 0.2500 0.2500 0.2500
Pb1 Pb 0.0000 0.0000 0.5000
Au1 Au 0.2500 0.2500 0.7500
```

---

This record from Alexandria via LeMat-Bulk describes a relaxed structure of PdAu3. The functional is PBEsol.

Calculated values
density	17.786	g cm⁻³
energy	-4.4951	eV per atom
formation enthalpy at 0 K	-62	meV/atom

Structure (CIF):
```
data_PdAu3
_cell_length_a 5.6536
_cell_length_b 5.6536
_cell_length_c 4.7038
_cell_angle_alpha 90.00
_cell_angle_beta 90.00
_cell_angle_gamma 120.00
_space_group_name_H-M_alt 'P 63/m m c'
_space_group_IT_number 194
_space_group_name_Hall '-P 6c 2c'
loop_
_atom_site_label
_atom_site_type_symbol
_atom_site_fract_x
_atom_site_fract_y
_atom_site_fract_z
Pd1 Pd 0.3333 0.6667 0.2500
Au1 Au 0.1678 0.3357 0.7500
```

---

This record from Alexandria via LeMat-Bulk describes a relaxed structure of Pd3Au. The functional is PBEsol.

Calculated values
density	14.214	g cm⁻³
energy	-5.5022	eV per atom
formation enthalpy at 0 K	-52	meV/atom

Structure (CIF):
```
data_Pd3Au
_cell_length_a 3.9215
_cell_length_b 3.9215
_cell_length_c 3.9215
_cell_angle_alpha 90.00
_cell_angle_beta 90.00
_cell_angle_gamma 90.00
_space_group_name_H-M_alt 'P m -3 m'
_space_group_IT_number 221
_space_group_name_Hall '-P 4 2 3'
loop_
_atom_site_label
_atom_site_type_symbol
_atom_site_fract_x
_atom_site_fract_y
_atom_site_fract_z
Pd1 Pd 0.0000 0.0000 0.5000
Au1 Au 0.5000 0.5000 0.5000
```

---

This record from Alexandria via LeMat-Bulk describes a relaxed structure of PdAu3. The functional is PBEsol.

Calculated values
density	17.837	g cm⁻³
energy	-4.5127	eV per atom
formation enthalpy at 0 K	-80	meV/atom

Structure (CIF):
```
data_PdAu3
_cell_length_a 4.0615
_cell_length_b 4.0615
_cell_length_c 7.8711
_cell_angle_alpha 90.00
_cell_angle_beta 90.00
_cell_angle_gamma 90.00
_space_group_name_H-M_alt 'I 4/m m m'
_space_group_IT_number 139
_space_group_name_Hall '-I 4 2'
loop_
_atom_site_label
_atom_site_type_symbol
_atom_site_fract_x
_atom_site_fract_y
_atom_site_fract_z
Pd1 Pd 0.0000 0.0000 0.0000
Au1 Au 0.0000 0.0000 0.5000
Au2 Au 0.0000 0.5000 0.2500
```